*P*
DFT (GGA-PBE) results for a relaxed structure of LaTeI2F.

```
data_LaTeI2F
_symmetry_space_group_name_H-M 'P 4/m m m'
_symmetry_Int_Tables_number 123
_symmetry_space_group_name_Hall '-P 4 2'
_cell_length_a 6.188
_cell_length_b 6.188
_cell_length_c 6.514
_cell_angle_alpha 90.00
_cell_angle_beta 90.00
_cell_angle_gamma 90.00
loop_
_atom_site_label
_atom_site_type_symbol
_atom_site_fract_x
_atom_site_fract_y
_atom_site_fract_z
_atom_site_occupancy
La1 La 0.000 0.000 0.000 1
Te1 Te 0.000 0.000 0.500 1
I1 I 0.000 0.500 0.000 1
F1 F 0.500 0.500 0.500 1
```



*Q*
DFT (GGA-PBE) results for a relaxed structure of LaTeI2F.

```
data_LaTeI2F
_symmetry_space_group_name_H-M 'P 4/m m m'
_symmetry_Int_Tables_number 123
_symmetry_space_group_name_Hall '-P 4 2'
_cell_length_a 5.746
_cell_length_b 5.746
_cell_length_c 4.448
_cell_angle_alpha 90.00
_cell_angle_beta 90.00
_cell_angle_gamma 90.00
loop_
_atom_site_label
_atom_site_type_symbol
_atom_site_fract_x
_atom_site_fract_y
_atom_site_fract_z
_atom_site_occupancy
La1 La 0.000 0.000 0.000 1
Te1 Te 0.500 0.500 0.000 1
I1 I 0.000 0.500 0.500 1
F1 F 0.500 0.500 0.500 1
```



The least stable of them is *P*.



*P*
DFT (GGA-PBE) results for a relaxed structure of Li4I2F.

```
data_Li4I2F
_symmetry_space_group_name_H-M 'I 4/m m m'
_symmetry_Int_Tables_number 139
_symmetry_space_group_name_Hall '-I 4 2'
_cell_length_a 4.015
_cell_length_b 4.015
_cell_length_c 21.708
_cell_angle_alpha 90.00
_cell_angle_beta 90.00
_cell_angle_gamma 90.00
loop_
_atom_site_label
_atom_site_type_symbol
_atom_site_fract_x
_atom_site_fract_y
_atom_site_fract_z
_atom_site_occupancy
Li1 Li 0.000 0.000 0.197 1
Li2 Li 0.000 0.500 0.000 1
I1 I 0.000 0.000 0.328 1
F1 F 0.000 0.000 0.000 1
```



*Q*
DFT (GGA-PBE) results for a relaxed structure of Li4I2F.

```
data_Li4I2F
_symmetry_space_group_name_H-M 'I 4/m m m'
_symmetry_Int_Tables_number 139
_symmetry_space_group_name_Hall '-I 4 2'
_cell_length_a 4.519
_cell_length_b 4.519
_cell_length_c 14.323
_cell_angle_alpha 90.00
_cell_angle_beta 90.00
_cell_angle_gamma 90.00
loop_
_atom_site_label
_atom_site_type_symbol
_atom_site_fract_x
_atom_site_fract_y
_atom_site_fract_z
_atom_site_occupancy
Li1 Li 0.000 0.000 0.145 1
Li2 Li 0.000 0.500 0.000 1
I1 I 0.000 0.000 0.358 1
F1 F 0.000 0.000 0.000 1
```



The least stable of them is *Q*.